Here is Ba3BiI at its PBEsol-relaxed geometry from the Alexandria database. Energies are from meta-GGA SCAN.

Geometry as CIF:
```
data_Ba3BiI
_chemical_formula_sum 'Ba3 Bi1 I1'
_cell_length_a 6.309
_cell_length_b 6.309
_cell_length_c 6.309
_cell_angle_alpha 90.00
_cell_angle_beta 90.00
_cell_angle_gamma 90.00
_space_group_name_H-M_alt 'P 1'
_space_group_IT_number 1
loop_
_space_group_symop_operation_xyz
'x,y,z'
loop_
_atom_site_label
_atom_site_type_symbol
_atom_site_fract_x
_atom_site_fract_y
_atom_site_fract_z
_atom_site_occupancy
Ba1 Ba 0.000 0.500 0.000 1
Ba2 Ba 0.000 0.000 0.500 1
Ba3 Ba 0.500 0.000 0.000 1
Bi1 Bi 0.500 0.500 0.500 1
I1 I 0.000 0.000 0.000 1
```

Output
SG = Pm-3m, No. 221
density = 4946 kg/m³
total DFT energy (no corrections) = -47.3634 eV per atom

Here is BaBiIN2 at its PBEsol-relaxed geometry from the Alexandria database. Energies are from meta-GGA SCAN.

Geometry as CIF:
```
data_BaBiIN2
_chemical_formula_sum 'Ba1 Bi1 I1 N2'
_cell_length_a 4.635
_cell_length_b 4.635
_cell_length_c 6.028
_cell_angle_alpha 90.00
_cell_angle_beta 90.00
_cell_angle_gamma 90.00
_space_group_name_H-M_alt 'P 1'
_space_group_IT_number 1
loop_
_space_group_symop_operation_xyz
'x,y,z'
loop_
_atom_site_label
_atom_site_type_symbol
_atom_site_fract_x
_atom_site_fract_y
_atom_site_fract_z
_atom_site_occupancy
N1 N 0.000 0.500 0.000 1
N2 N 0.500 0.000 0.000 1
Bi1 Bi 0.000 0.000 0.000 1
I1 I 0.000 0.000 0.500 1
Ba1 Ba 0.500 0.500 0.500 1
```

Output
SG = P4/mmm, No. 123
density = 6427 kg/m³
total DFT energy (no corrections) = -34.0785 eV per atom

Here is BaBiOs2I at its PBEsol-relaxed geometry from the Alexandria database. Energies are from meta-GGA SCAN.

Geometry as CIF:
```
data_BaBiOs2I
_chemical_formula_sum 'Ba1 Bi1 Os2 I1'
_cell_length_a 5.026
_cell_length_b 5.026
_cell_length_c 6.317
_cell_angle_alpha 90.00
_cell_angle_beta 90.00
_cell_angle_gamma 90.00
_space_group_name_H-M_alt 'P 1'
_space_group_IT_number 1
loop_
_space_group_symop_operation_xyz
'x,y,z'
loop_
_atom_site_label
_atom_site_type_symbol
_atom_site_fract_x
_atom_site_fract_y
_atom_site_fract_z
_atom_site_occupancy
Ba1 Ba 0.500 0.500 0.500 1
Os1 Os 0.000 0.500 0.000 1
Os2 Os 0.500 0.000 0.000 1
I1 I 0.000 0.000 0.500 1
Bi1 Bi 0.000 0.000 0.000 1
```

Output
SG = P4/mmm, No. 123
density = 8885 kg/m³
total DFT energy (no corrections) = -58.4353 eV per atom

Here is BaBiSI2 at its PBEsol-relaxed geometry from the Alexandria database. Energies are from meta-GGA SCAN.

Geometry as CIF:
```
data_BaBiSI2
_chemical_formula_sum 'Ba1 Bi1 S1 I2'
_cell_length_a 6.467
_cell_length_b 6.467
_cell_length_c 6.974
_cell_angle_alpha 90.00
_cell_angle_beta 90.00
_cell_angle_gamma 90.00
_space_group_name_H-M_alt 'P 1'
_space_group_IT_number 1
loop_
_space_group_symop_operation_xyz
'x,y,z'
loop_
_atom_site_label
_atom_site_type_symbol
_atom_site_fract_x
_atom_site_fract_y
_atom_site_fract_z
_atom_site_occupancy
Ba1 Ba 0.000 0.000 0.000 1
I1 I 0.000 0.500 0.000 1
I2 I 0.500 0.000 0.000 1
S1 S 0.500 0.500 0.500 1
Bi1 Bi 0.000 0.000 0.500 1
```

Output
SG = P4/mmm, No. 123
density = 3599 kg/m³
total DFT energy (no corrections) = -40.0367 eV per atom

Which of these has the lowest density?
BaBiSI2

Among the records above, which one has the highest density?
BaBiOs2I

Look up the density of the second one.
6427 kg/m³